No. 1
CaDyLu4 | PBE | relaxed

Its crystal system is cubic. The value obtained for the formation energy is 1.4 eV per formula unit. The value obtained for the calculated total energy is -3.8790 eV/atom. Its space-group type is F-43m (216).

```
CaDyLu4
1.0
-2.800 -5.249 2.719
3.232 -5.682 0.228
2.198 -2.285 5.721
Ca Lu Dy
1 4 1
direct
0.250 0.250 0.250
0.626 0.626 0.121
0.626 0.121 0.626
0.626 0.626 0.626
0.121 0.626 0.626
0.000 0.000 0.000
```

---

No. 2
CaDy2Lu | PBE | relaxed

Its crystal system is tetragonal. The value obtained for the formation energy is 0.4 eV per formula unit. The relative energy among the computed polymorphs comes out at 0.000 eV/atom. The value obtained for the calculated total energy is -3.8295 eV/atom. Its space-group type is P4/mmm (123).

```
CaDy2Lu
1.0
3.938 0.000 0.000
0.000 3.938 0.000
0.000 0.000 8.742
Ca Lu Dy
1 1 2
direct
0.500 0.500 0.500
0.500 0.500 0.000
0.000 0.000 0.787
0.000 0.000 0.213
```

---

No. 3
CaDy2Lu | PBE | relaxed

Its crystal system is tetragonal. The value obtained for the formation energy is 0.6 eV per formula unit. The relative energy among the computed polymorphs comes out at 0.047 eV/atom. The value obtained for the calculated total energy is -3.7828 eV/atom. Its space-group type is P4/mmm (123).

```
CaDy2Lu
1.0
-1.757 2.287 4.098
2.602 -3.252 2.931
3.997 3.156 -0.047
Ca Lu Dy
1 1 2
direct
0.500 0.000 0.000
0.500 0.500 0.500
0.000 0.000 0.500
0.000 0.500 0.000
```

---

No. 4
CaDyLu2 | PBE | relaxed

Its crystal system is trigonal. The value obtained for the formation energy is 0.7 eV per formula unit. The relative energy among the computed polymorphs comes out at 0.091 eV/atom. The value obtained for the calculated total energy is -3.7298 eV/atom. Its space-group type is R-3m (166).

```
CaDyLu2
1.0
3.502 0.000 0.000
1.751 3.033 0.000
1.751 1.011 12.308
Ca Lu Dy
1 2 1
direct
0.000 0.000 0.000
0.091 0.091 0.727
0.909 0.909 0.273
0.500 0.500 0.500
```

---

No. 5
CaDy2Lu | PBE | relaxed

Its crystal system is cubic. The value obtained for the formation energy is 0.7 eV per formula unit. The relative energy among the computed polymorphs comes out at 0.062 eV/atom. The value obtained for the calculated total energy is -3.7673 eV/atom. Its space-group type is Fm-3m (225).

```
CaDy2Lu
1.0
5.699 0.000 0.000
2.849 4.935 0.000
2.849 1.645 4.653
Ca Lu Dy
1 1 2
direct
0.500 0.500 0.500
0.000 0.000 0.000
0.250 0.250 0.250
0.750 0.750 0.750
```

---

No. 6
CaDyLuMg | PBE | relaxed

Its crystal system is cubic. The value obtained for the formation energy is 0.3 eV per formula unit. The value obtained for the calculated total energy is -3.0928 eV/atom. Its space-group type is F-43m (216).

```
CaDyLuMg
1.0
-4.210 0.481 -3.601
-1.256 -4.225 -3.390
-4.678 -2.901 0.788
Ca Lu Mg Dy
1 1 1 1
direct
0.750 0.750 0.750
0.500 0.500 0.500
0.000 0.000 0.000
0.250 0.250 0.250
```

---

No. 7
CaTbDyLu | PBE | relaxed

Its crystal system is cubic. The value obtained for the formation energy is 0.6 eV per formula unit. The value obtained for the calculated total energy is -3.7789 eV/atom. Its space-group type is F-43m (216).

```
CaTbDyLu
1.0
5.707 0.000 0.000
2.853 4.942 0.000
2.853 1.647 4.660
Ca Lu Tb Dy
1 1 1 1
direct
0.250 0.250 0.250
0.750 0.750 0.750
0.000 0.000 0.000
0.500 0.500 0.500
```

---

No. 8
CaDyTmLu | PBE | relaxed

Its crystal system is cubic. The value obtained for the formation energy is 0.7 eV per formula unit. The value obtained for the calculated total energy is -3.7232 eV/atom. Its space-group type is F-43m (216).

```
CaDyTmLu
1.0
5.679 0.000 0.000
2.839 4.918 0.000
2.839 1.639 4.637
Ca Lu Tm Dy
1 1 1 1
direct
0.000 0.000 0.000
0.500 0.500 0.500
0.250 0.250 0.250
0.750 0.750 0.750
```

---

No. 9
CaDyYLu | PBE | relaxed

Its crystal system is cubic. The value obtained for the formation energy is 0.6 eV per formula unit. The value obtained for the calculated total energy is -4.2357 eV/atom. Its space-group type is F-43m (216).

```
CaDyYLu
1.0
5.715 0.000 0.000
2.857 4.949 0.000
2.857 1.650 4.666
Y Ca Lu Dy
1 1 1 1
direct
0.000 0.000 0.000
0.250 0.250 0.250
0.750 0.750 0.750
0.500 0.500 0.500
```

---

No. 10
Ca5DyMg6 | PBE | relaxed

Its crystal system is monoclinic. The value obtained for the formation energy is -0.9 eV per formula unit. The value obtained for the calculated total energy is -2.0909 eV/atom. Its space-group type is C2/m (12).

```
Ca5DyMg6
1.0
5.523 -0.345 0.881
-0.021 7.186 2.949
1.260 0.287 9.550
Ca Mg Dy
5 6 1
direct
0.668 0.168 0.665
0.334 0.335 0.330
0.000 0.500 0.000
0.666 0.665 0.670
0.332 0.832 0.335
0.835 0.594 0.327
0.835 0.079 0.327
0.500 0.764 0.000
0.500 0.236 0.000
0.165 0.921 0.673
0.165 0.406 0.673
0.000 0.000 0.000
```

---

No. 11
CaDyMg | PBE | relaxed

Its crystal system is tetragonal. The value obtained for the formation energy is 1.0 eV per formula unit. The relative energy among the computed polymorphs comes out at 0.365 eV/atom. The value obtained for the calculated total energy is -2.4045 eV/atom. Its space-group type is P4/nmm (129).

```
CaDyMg
1.0
5.352 0.000 0.000
0.000 5.352 0.000
0.000 0.000 7.705
Ca Dy Mg
2 2 2
direct
0.500 0.500 0.500
0.000 0.000 0.500
0.500 0.500 0.000
0.000 0.000 0.000
0.500 0.000 0.764
0.000 0.500 0.236
```

---

No. 12
CaDy2Mg | PBE | relaxed

Its crystal system is trigonal. The value obtained for the formation energy is 0.9 eV per formula unit. The relative energy among the computed polymorphs comes out at 0.181 eV/atom. The value obtained for the calculated total energy is -2.9862 eV/atom. Its space-group type is R-3m (166).

```
CaDy2Mg
1.0
3.498 0.000 0.000
1.749 3.030 0.000
1.749 1.010 12.245
Ca Mg Dy
1 1 2
direct
0.000 0.000 0.000
0.500 0.500 0.500
0.094 0.094 0.717
0.906 0.906 0.283
```

---

- What is the formula in the fifth record?
  CaDy2Lu

---

What did the eighth record say?
CaDyTmLu | PBE | relaxed

Its crystal system is cubic. The value obtained for the formation energy is 0.7 eV per formula unit. The value obtained for the calculated total energy is -3.7232 eV/atom. Its space-group type is F-43m (216).

```
CaDyTmLu
1.0
5.679 0.000 0.000
2.839 4.918 0.000
2.839 1.639 4.637
Ca Lu Tm Dy
1 1 1 1
direct
0.000 0.000 0.000
0.500 0.500 0.500
0.250 0.250 0.250
0.750 0.750 0.750
```

---

- calculated total energy of number 3 (CaDy2Lu)?
  -3.7828 eV/atom

---

- Look up the formation energy of the eighth one.
  0.7 eV per formula unit